1.
Computed, not measured: a relaxed structure of SbIrNF2 at the GGA-PBE level of DFT.

Spin magnetization   0.00 μB/f.u.
E_tot   -5.086 eV/atom
Crystal system   tetragonal
Energy relative to the elements, uncorrected   -76.0 meV/atom

Cell: 4.589 4.589 3.678 Å, 90.00 90.00 90.00°
Space group P4/mmm (No. 123)
Asymmetric unit:
1 Sb 0.000 0.000 0.000 (multiplicity 1)
2 Ir 0.500 0.500 0.500 (multiplicity 1)
3 N 0.500 0.500 0.000 (multiplicity 1)
4 F 0.000 0.500 0.500 (multiplicity 2)

2.
Computed, not measured: a relaxed structure of ScIrN2F at the GGA-PBE level of DFT.

Spin magnetization   0.95 μB/f.u.
E_tot   -6.295 eV/atom
Crystal system   tetragonal
Energy relative to the elements, uncorrected   447.8 meV/atom

Cell: 4.206 4.206 3.761 Å, 90.00 90.00 90.00°
Space group P4/mmm (No. 123)
Asymmetric unit:
1 Sc 0.000 0.000 0.000 (multiplicity 1)
2 Ir 0.500 0.500 0.500 (multiplicity 1)
3 N 0.000 0.500 0.000 (multiplicity 2)
4 F 0.000 0.000 0.500 (multiplicity 1)

3.
Computed, not measured: a relaxed structure of ScIrN2F at the GGA-PBE level of DFT.

Spin magnetization   0.00 μB/f.u.
E_tot   -6.832 eV/atom
Crystal system   tetragonal
Energy relative to the elements, uncorrected   -89.3 meV/atom

Cell: 3.846 3.846 4.374 Å, 90.00 90.00 90.00°
Space group P4/mmm (No. 123)
Asymmetric unit:
1 Sc 0.000 0.000 0.000 (multiplicity 1)
2 Ir 0.500 0.500 0.500 (multiplicity 1)
3 N 0.000 0.500 0.500 (multiplicity 2)
4 F 0.500 0.500 0.000 (multiplicity 1)

4.
Computed, not measured: a relaxed structure of IrSeN2F at the GGA-PBE level of DFT.

Spin magnetization   0.11 μB/f.u.
E_tot   -5.295 eV/atom
Crystal system   tetragonal
Energy relative to the elements, uncorrected   878.8 meV/atom

Cell: 3.916 3.916 4.145 Å, 90.00 90.00 90.00°
Space group P4/mmm (No. 123)
Asymmetric unit:
1 Ir 0.000 0.000 0.000 (multiplicity 1)
2 Se 0.500 0.500 0.500 (multiplicity 1)
3 N 0.000 0.500 0.000 (multiplicity 2)
4 F 0.000 0.000 0.500 (multiplicity 1)

5.
Computed, not measured: a relaxed structure of IrSeN2F at the GGA-PBE level of DFT.

Spin magnetization   0.04 μB/f.u.
E_tot   -4.433 eV/atom
Crystal system   tetragonal
Energy relative to the elements, uncorrected   1740.5 meV/atom

Cell: 3.996 3.996 3.763 Å, 90.00 90.00 90.00°
Space group P4/mmm (No. 123)
Asymmetric unit:
1 Ir 0.000 0.000 0.000 (multiplicity 1)
2 Se 0.500 0.500 0.500 (multiplicity 1)
3 N 0.000 0.500 0.500 (multiplicity 2)
4 F 0.500 0.500 0.000 (multiplicity 1)

6.
Computed, not measured: a relaxed structure of IrSeN2F at the GGA-PBE level of DFT.

Spin magnetization   0.82 μB/f.u.
E_tot   -3.817 eV/atom
Crystal system   tetragonal
Energy relative to the elements, uncorrected   2356.3 meV/atom

Cell: 3.900 3.900 4.033 Å, 90.00 90.00 90.00°
Space group P4/mmm (No. 123)
Asymmetric unit:
1 Ir 0.000 0.000 0.000 (multiplicity 1)
2 Se 0.500 0.500 0.000 (multiplicity 1)
3 N 0.000 0.500 0.500 (multiplicity 2)
4 F 0.500 0.500 0.500 (multiplicity 1)

7.
Computed, not measured: a relaxed structure of IrSeN2F at the GGA-PBE level of DFT.

Spin magnetization   0.41 μB/f.u.
E_tot   -5.501 eV/atom
Crystal system   tetragonal
Energy relative to the elements, uncorrected   672.1 meV/atom

Cell: 3.720 3.720 5.490 Å, 90.00 90.00 90.00°
Space group P4/mmm (No. 123)
Asymmetric unit:
1 Ir 0.000 0.000 0.000 (multiplicity 1)
2 Se 0.000 0.000 0.500 (multiplicity 1)
3 N 0.000 0.500 0.000 (multiplicity 2)
4 F 0.500 0.500 0.500 (multiplicity 1)

8.
Computed, not measured: a relaxed structure of SiIrNF2 at the GGA-PBE level of DFT.

Spin magnetization   2.19 μB/f.u.
E_tot   -5.257 eV/atom
Crystal system   tetragonal
Energy relative to the elements, uncorrected   13.8 meV/atom

Cell: 4.247 4.247 3.239 Å, 90.00 90.00 90.00°
Space group P4/mmm (No. 123)
Asymmetric unit:
1 Si 0.000 0.000 0.000 (multiplicity 1)
2 Ir 0.500 0.500 0.500 (multiplicity 1)
3 N 0.000 0.000 0.500 (multiplicity 1)
4 F 0.000 0.500 0.000 (multiplicity 2)

9.
Computed, not measured: a relaxed structure of SiIrNF2 at the GGA-PBE level of DFT.

Spin magnetization   0.00 μB/f.u.
E_tot   -5.166 eV/atom
Crystal system   tetragonal
Energy relative to the elements, uncorrected   104.0 meV/atom

Cell: 4.449 4.449 3.694 Å, 90.00 90.00 90.00°
Space group P4/mmm (No. 123)
Asymmetric unit:
1 Si 0.000 0.000 0.000 (multiplicity 1)
2 Ir 0.500 0.500 0.500 (multiplicity 1)
3 N 0.500 0.500 0.000 (multiplicity 1)
4 F 0.000 0.500 0.500 (multiplicity 2)

10.
Computed, not measured: a relaxed structure of SnIrN2F at the GGA-PBE level of DFT.

Spin magnetization   0.84 μB/f.u.
E_tot   -5.086 eV/atom
Crystal system   tetragonal
Energy relative to the elements, uncorrected   1190.8 meV/atom

Cell: 4.157 4.157 3.915 Å, 90.00 90.00 90.00°
Space group P4/mmm (No. 123)
Asymmetric unit:
1 Sn 0.000 0.000 0.000 (multiplicity 1)
2 Ir 0.500 0.500 0.500 (multiplicity 1)
3 N 0.000 0.500 0.000 (multiplicity 2)
4 F 0.000 0.000 0.500 (multiplicity 1)

11.
Computed, not measured: a relaxed structure of SnIr2NF at the GGA-PBE level of DFT.

Spin magnetization   0.00 μB/f.u.
E_tot   -4.523 eV/atom
Crystal system   tetragonal
Energy relative to the elements, uncorrected   1861.4 meV/atom

Cell: 4.155 4.155 4.842 Å, 90.00 90.00 90.00°
Space group P4/mmm (No. 123)
Asymmetric unit:
1 Sn 0.000 0.000 0.000 (multiplicity 1)
2 Ir 0.000 0.500 0.500 (multiplicity 2)
3 N 0.500 0.500 0.000 (multiplicity 1)
4 F 0.000 0.000 0.500 (multiplicity 1)

12.
Computed, not measured: a relaxed structure of SnIrN2F at the GGA-PBE level of DFT.

Spin magnetization   0.00 μB/f.u.
E_tot   -6.067 eV/atom
Crystal system   tetragonal
Energy relative to the elements, uncorrected   210.2 meV/atom

Cell: 3.756 3.756 5.671 Å, 90.00 90.00 90.00°
Space group P4/mmm (No. 123)
Asymmetric unit:
1 Sn 0.000 0.000 0.000 (multiplicity 1)
2 Ir 0.500 0.500 0.500 (multiplicity 1)
3 N 0.000 0.500 0.500 (multiplicity 2)
4 F 0.500 0.500 0.000 (multiplicity 1)